## Pr3Sm7Er2 (PBE-GGA)

Data for a relaxed Pr3Sm7Er2 crystal.

Cell: 5.936 3.619 19.130 Å, 90.00 93.01 90.00°
Space group P2/m (No. 10)
One atom of each set of equivalent atoms:
1 Pr 0.000 0.000 0.000
2 Pr 0.280 0.500 0.634
3 Sm 0.189 0.500 0.145
4 Sm 0.243 0.000 0.464
5 Sm 0.309 0.000 0.820
6 Sm 0.500 0.500 0.000
7 Er 0.211 0.000 0.294

Output
- calculated formation energy (eV per atom) = 0.09
- relative energy among the computed polymorphs (meV per atom) = 0.0


## Cs2GaAgBr6 (PBE-GGA)

Data for a relaxed Cs2GaAgBr6 crystal.

Cell: 10.967 10.967 10.967 Å, 90.00 90.00 90.00°
Space group Fm-3m (No. 225)
One atom of each set of equivalent atoms:
1 Cs 0.250 0.250 0.250
2 Ga 0.000 0.000 0.000
3 Ag 0.000 0.000 0.500
4 Br 0.000 0.000 0.238

Output
- uncorrected formation energy (eV/atom) = -1.093


no.,VASP energy (eV per atom)
1,-4.62
2,-2.86